Material: TbDyGaPd
Method: DFT, GGA-PBE
State: relaxed

```
data_TbDyGaPd
_cell_length_a 5.033
_cell_length_b 5.033
_cell_length_c 5.033
_cell_angle_alpha 60.00
_cell_angle_beta 60.00
_cell_angle_gamma 60.00
_space_group_name_H-M_alt 'P 1'
_space_group_IT_number 1
loop_
_space_group_symop_operation_xyz
'x,y,z'
loop_
_atom_site_label
_atom_site_fract_x
_atom_site_fract_y
_atom_site_fract_z
Dy1 0.500 0.500 0.500
Ga1 0.250 0.250 0.250
Tb1 0.000 0.000 0.000
Pd1 0.750 0.750 0.750
```

Output
N(E_F)	0.813	states/eV per atom
calculated total energy	-5.064	eV per atom
volume	22.53	Å³ per atom

***

Material: Ti2HgPd9
Method: DFT, GGA-PBE
State: relaxed

```
data_Ti2HgPd9
_cell_length_a 3.966
_cell_length_b 3.966
_cell_length_c 11.960
_cell_angle_alpha 90.00
_cell_angle_beta 90.00
_cell_angle_gamma 90.00
_space_group_name_H-M_alt 'P 1'
_space_group_IT_number 1
loop_
_space_group_symop_operation_xyz
'x,y,z'
loop_
_atom_site_label
_atom_site_fract_x
_atom_site_fract_y
_atom_site_fract_z
Pd1 0.500 0.000 0.500
Hg1 0.000 0.000 0.000
Pd2 0.000 0.500 0.500
Pd3 0.000 0.500 0.820
Pd4 0.500 0.500 0.340
Pd5 0.500 0.500 0.660
Pd6 0.500 0.500 0.000
Ti1 0.000 0.000 0.668
Pd7 0.500 0.000 0.820
Ti2 0.000 0.000 0.332
Pd8 0.500 0.000 0.180
Pd9 0.000 0.500 0.180
```

Output
N(E_F)	0.577	states/eV per atom
calculated total energy	-5.732	eV per atom
volume	15.68	Å³ per atom

***

Material: ScCo2Pd2
Method: DFT, GGA-PBE
State: relaxed

```
data_ScCo2Pd2
_cell_length_a 3.865
_cell_length_b 3.865
_cell_length_c 5.964
_cell_angle_alpha 71.09
_cell_angle_beta 71.09
_cell_angle_gamma 90.00
_space_group_name_H-M_alt 'P 1'
_space_group_IT_number 1
loop_
_space_group_symop_operation_xyz
'x,y,z'
loop_
_atom_site_label
_atom_site_fract_x
_atom_site_fract_y
_atom_site_fract_z
Sc1 0.000 0.000 0.000
Pd1 0.750 0.250 0.500
Co1 0.598 0.598 0.803
Pd2 0.250 0.750 0.500
Co2 0.402 0.402 0.197
```

Output
N(E_F)	0.629	states/eV per atom
calculated total energy	-6.324	eV per atom
volume	15.84	Å³ per atom

***

Material: Pr2GaRu
Method: DFT, GGA-PBE
State: relaxed

```
data_Pr2GaRu
_cell_length_a 3.637
_cell_length_b 3.637
_cell_length_c 7.300
_cell_angle_alpha 90.00
_cell_angle_beta 90.00
_cell_angle_gamma 90.00
_space_group_name_H-M_alt 'P 1'
_space_group_IT_number 1
loop_
_space_group_symop_operation_xyz
'x,y,z'
loop_
_atom_site_label
_atom_site_fract_x
_atom_site_fract_y
_atom_site_fract_z
Pr1 0.000 0.000 0.765
Ga1 0.500 0.500 0.500
Ru1 0.500 0.500 0.000
Pr2 0.000 0.000 0.235
```

Output
N(E_F)	0.819	states/eV per atom
calculated total energy	-5.750	eV per atom
volume	24.14	Å³ per atom

***

Material: NbIn2F
Method: DFT, GGA-PBE
State: relaxed

```
data_NbIn2F
_cell_length_a 7.208
_cell_length_b 7.208
_cell_length_c 5.915
_cell_angle_alpha 52.46
_cell_angle_beta 52.46
_cell_angle_gamma 90.00
_space_group_name_H-M_alt 'P 1'
_space_group_IT_number 1
loop_
_space_group_symop_operation_xyz
'x,y,z'
loop_
_atom_site_label
_atom_site_fract_x
_atom_site_fract_y
_atom_site_fract_z
Nb1 0.750 0.250 0.500
F1 0.500 0.500 0.000
Nb2 0.000 0.000 0.000
In1 0.375 0.424 0.750
In2 0.875 0.826 0.750
In3 0.576 0.125 0.250
In4 0.174 0.625 0.250
F2 0.250 0.750 0.500
```

Output
N(E_F)	0.577	states/eV per atom
ΔE_f (raw)	-0.21	eV per atom
volume	19.49	Å³ per atom

***

Material: Hf12In3Re
Method: DFT, GGA-PBE
State: relaxed

```
data_Hf12In3Re
_cell_length_a 4.460
_cell_length_b 4.460
_cell_length_c 17.185
_cell_angle_alpha 90.00
_cell_angle_beta 90.00
_cell_angle_gamma 90.00
_space_group_name_H-M_alt 'P 1'
_space_group_IT_number 1
loop_
_space_group_symop_operation_xyz
'x,y,z'
loop_
_atom_site_label
_atom_site_fract_x
_atom_site_fract_y
_atom_site_fract_z
Hf1 0.000 0.500 0.373
Hf2 0.500 0.500 0.500
In1 0.000 0.000 0.244
In2 0.000 0.000 0.756
Hf3 0.500 0.000 0.627
Hf4 0.500 0.000 0.888
Hf5 0.000 0.500 0.888
Hf6 0.500 0.500 0.000
Hf7 0.500 0.000 0.373
Hf8 0.500 0.500 0.245
Re1 0.000 0.000 0.000
Hf9 0.500 0.500 0.755
In3 0.000 0.000 0.500
Hf10 0.000 0.500 0.112
Hf11 0.000 0.500 0.627
Hf12 0.500 0.000 0.112
```

Output
N(E_F)	1.033	states/eV per atom
calculated total energy	-8.837	eV per atom
volume	21.36	Å³ per atom

***

Material: NbReS3
Method: DFT, GGA-PBE
State: relaxed

```
data_NbReS3
_cell_length_a 4.568
_cell_length_b 4.568
_cell_length_c 4.568
_cell_angle_alpha 90.00
_cell_angle_beta 90.00
_cell_angle_gamma 90.00
_space_group_name_H-M_alt 'P 1'
_space_group_IT_number 1
loop_
_space_group_symop_operation_xyz
'x,y,z'
loop_
_atom_site_label
_atom_site_fract_x
_atom_site_fract_y
_atom_site_fract_z
Re1 0.000 0.000 0.000
S1 0.000 0.000 0.500
S2 0.000 0.500 0.000
Nb1 0.500 0.500 0.500
S3 0.500 0.000 0.000
```

Output
N(E_F)	1.679	states/eV per atom
ΔE_f (raw)	0.74	eV per atom
volume	19.06	Å³ per atom

***

Material: SiAgHg2Se4
Method: DFT, GGA-PBE
State: relaxed

```
data_SiAgHg2Se4
_cell_length_a 6.091
_cell_length_b 6.091
_cell_length_c 7.530
_cell_angle_alpha 113.85
_cell_angle_beta 113.85
_cell_angle_gamma 90.02
_space_group_name_H-M_alt 'P 1'
_space_group_IT_number 1
loop_
_space_group_symop_operation_xyz
'x,y,z'
loop_
_atom_site_label
_atom_site_fract_x
_atom_site_fract_y
_atom_site_fract_z
Si1 0.500 0.500 0.000
Ag1 0.000 0.000 0.001
Se1 0.615 0.615 0.784
Hg1 0.250 0.750 0.500
Se2 0.386 0.830 0.216
Se3 0.830 0.386 0.216
Hg2 0.750 0.250 0.500
Se4 0.170 0.170 0.784
```

Output
N(E_F)	0.335	states/eV per atom
ΔE_f (raw)	-0.18	eV per atom
volume	28.65	Å³ per atom

***

Material: LaZn3Ni
Method: DFT, GGA-PBE
State: relaxed

```
data_LaZn3Ni
_cell_length_a 5.700
_cell_length_b 5.700
_cell_length_c 5.700
_cell_angle_alpha 90.00
_cell_angle_beta 90.00
_cell_angle_gamma 90.00
_space_group_name_H-M_alt 'P 1'
_space_group_IT_number 1
loop_
_space_group_symop_operation_xyz
'x,y,z'
loop_
_atom_site_label
_atom_site_fract_x
_atom_site_fract_y
_atom_site_fract_z
Zn1 0.000 0.500 0.000
Zn2 0.500 0.000 0.000
Zn3 0.000 0.000 0.500
La1 0.000 0.000 0.000
Ni1 0.500 0.500 0.500
```

Output
N(E_F)	2.147	states/eV per atom
calculated total energy	-1.483	eV per atom
volume	37.04	Å³ per atom

***

Material: SiHgO2F
Method: DFT, GGA-PBE
State: relaxed

```
data_SiHgO2F
_cell_length_a 3.464
_cell_length_b 3.464
_cell_length_c 4.986
_cell_angle_alpha 90.00
_cell_angle_beta 90.00
_cell_angle_gamma 90.00
_space_group_name_H-M_alt 'P 1'
_space_group_IT_number 1
loop_
_space_group_symop_operation_xyz
'x,y,z'
loop_
_atom_site_label
_atom_site_fract_x
_atom_site_fract_y
_atom_site_fract_z
O1 0.500 0.000 0.000
Hg1 0.500 0.500 0.500
F1 0.000 0.000 0.500
O2 0.000 0.500 0.000
Si1 0.000 0.000 0.000
```

Output
N(E_F)	0.258	states/eV per atom
ΔE_f (raw)	-1.34	eV per atom
volume	11.97	Å³ per atom

***

Material: CuRu2Cl
Method: DFT, GGA-PBE
State: relaxed

```
data_CuRu2Cl
_cell_length_a 2.834
_cell_length_b 2.834
_cell_length_c 8.516
_cell_angle_alpha 90.00
_cell_angle_beta 90.00
_cell_angle_gamma 120.05
_space_group_name_H-M_alt 'P 1'
_space_group_IT_number 1
loop_
_space_group_symop_operation_xyz
'x,y,z'
loop_
_atom_site_label
_atom_site_fract_x
_atom_site_fract_y
_atom_site_fract_z
Cl1 0.000 0.000 0.507
Ru1 0.500 0.500 0.250
Ru2 0.000 0.000 0.000
Cu1 0.500 0.500 0.744
```

Output
N(E_F)	0.989	states/eV per atom
ΔE_f (raw)	0.53	eV per atom
volume	14.80	Å³ per atom

***

Material: SmY2UAs4
Method: DFT, GGA-PBE
State: relaxed

```
data_SmY2UAs4
_cell_length_a 4.121
_cell_length_b 7.162
_cell_length_c 7.160
_cell_angle_alpha 109.19
_cell_angle_beta 90.00
_cell_angle_gamma 90.00
_space_group_name_H-M_alt 'P 1'
_space_group_IT_number 1
loop_
_space_group_symop_operation_xyz
'x,y,z'
loop_
_atom_site_label
_atom_site_fract_x
_atom_site_fract_y
_atom_site_fract_z
Sm1 0.000 0.000 0.000
As1 0.500 0.743 0.750
As2 0.000 0.255 0.751
As3 0.500 0.257 0.250
Y1 0.000 0.500 0.500
Y2 0.500 0.000 0.500
As4 0.000 0.745 0.249
U1 0.500 0.500 0.000
```

Output
N(E_F)	1.028	states/eV per atom
calculated total energy	-7.278	eV per atom
volume	24.95	Å³ per atom